(1)
Computed, not measured: NaHf2P3O12 after structural relaxation at the PBE level of DFT.

abc: 8.8609 8.8609 22.8267
angles: 90.00 90.00 120.00
Space group R-3c (No. 167, hexagonal axes)
Inequivalent atoms, fractional coordinates:
Na 0.0000 0.0000 0.0000 (multiplicity 6)
Hf 0.0000 0.0000 0.1452 (multiplicity 12)
P 0.0000 0.2903 0.2500 (multiplicity 18)
O 0.0165 0.1995 0.1948 (multiplicity 36)
O 0.0238 0.1933 0.9129 (multiplicity 36)

The density of states at the Fermi level comes out at 0.000 states/eV per atom.


(2)
Computed, not measured: BePtCl2 after structural relaxation at the PBE level of DFT.

abc: 2.9989 2.9989 33.8124
angles: 90.00 90.00 120.00
Space group R-3m (No. 166, hexagonal axes)
Inequivalent atoms, fractional coordinates:
Be 0.0000 0.0000 0.0000 (multiplicity 3)
Pt 0.0000 0.0000 0.5000 (multiplicity 3)
Cl 0.0000 0.0000 0.2947 (multiplicity 6)

The density of states at the Fermi level comes out at 1.215 states/eV per atom.


(3)
Computed, not measured: Na2HfInTe4 after structural relaxation at the PBE level of DFT.

abc: 7.717 4.238 7.853
angles: 90.00 107.79 90.00
Space group P2/m (No. 10)
Inequivalent atoms, fractional coordinates:
Na 0.000 0.000 0.000 (multiplicity 1)
Na 0.500 0.500 0.000 (multiplicity 1)
Hf 0.000 0.500 0.500 (multiplicity 1)
In 0.500 0.000 0.500 (multiplicity 1)
Te 0.226 0.000 0.719 (multiplicity 2)
Te 0.239 0.500 0.278 (multiplicity 2)

The density of states at the Fermi level comes out at 0.285 states/eV per atom.


The records above give, respectively, E values of -882.642, -43.707, -33.679 eV per cell.
The records above give, respectively, formation energy without anion corrections values of -2786.3, -277.2, -722.8 meV per atom.